{"formula": "NiOsN2O", "functional": "GGA+U", "state": "relaxed", "cell": [[3.853, 0.000, 0.000], [0.000, 3.853, 0.000], [0.000, 0.000, 3.864]], "species": ["Ni", "Os", "N", "N", "O"], "frac_coords": [[0.000, 0.000, 0.000], [0.500, 0.500, 0.500], [0.000, 0.500, 0.500], [0.500, 0.000, 0.500], [0.500, 0.500, 0.000]], "final_energy_ev_per_fu": -31.5, "volume_a3_per_atom": 11.47, "density_g_cm3": 8.48, "dos_ef_per_ev_cell": 4.4, "spacegroup": "No. 123"}